Y3PtI3: relaxed, PBE. Values from VASP.

DOS at the Fermi energy = 0.499 states/eV per atom
formation energy (no corrections) = -1.198 eV/atom
E_tot = -5.496 eV/atom

Cell and atoms, written as Quantum ESPRESSO input:
```
&SYSTEM
  ibrav = 0, nat = 14, ntyp = 3
/
ATOMIC_SPECIES
Y 88.91 Y.upf
Pt 195.08 Pt.upf
I 126.90 I.upf
CELL_PARAMETERS angstrom
-0.078 -3.042 -2.891
9.070 -0.532 0.315
-1.393 -8.374 8.847
ATOMIC_POSITIONS crystal
Y 0.250 0.276 0.606
Y 0.750 0.724 0.394
Y 0.250 0.869 0.630
Y 0.750 0.131 0.370
Y 0.250 0.901 0.174
Y 0.750 0.099 0.826
Pt 0.250 0.927 0.400
Pt 0.750 0.073 0.600
I 0.250 0.414 0.367
I 0.750 0.586 0.633
I 0.250 0.856 0.895
I 0.750 0.144 0.105
I 0.250 0.355 0.863
I 0.750 0.645 0.137
```